Compound: NdSmGaHg
Source: Alexandria via LeMat-Bulk
Functional: PBE
Structure: relaxed

Properties
As for the energy above the lowest structure with this stoichiometry: 0.0 meV/atom. For the energy relative to the elements, the calculation gives -2.08 eV per formula unit. The density of states at the Fermi level is 2.93 states/eV/f.u.

```
NdSmGaHg
1.0
-2.071 0.498 -2.987
-0.630 -3.610 -0.166
-6.298 0.892 4.515
Nd Sm Ga Hg
1 1 1 1
Cartesian
-5.296 0.750 3.797
-2.337 0.331 1.675
-5.141 -1.019 1.141
-2.069 -1.454 -1.061
```


Compound: Nd2SmGa2Hg2
Source: Alexandria via LeMat-Bulk
Functional: PBE
Structure: relaxed

Properties
For the energy relative to the elements, the calculation gives -2.67 eV per formula unit. The density of states at the Fermi level is 4.08 states/eV/f.u.

```
Nd2SmGa2Hg2
1.0
-0.718 1.224 4.466
-0.438 -3.304 3.294
9.117 -0.486 4.057
Nd Sm Ga Hg
2 1 2 2
Cartesian
5.462 -0.566 3.491
2.500 -2.000 8.325
0.000 0.000 0.000
6.146 -1.920 8.889
1.816 -0.645 2.927
0.956 -1.349 5.440
7.006 -1.217 6.376
```


Look up the energy relative to the elements of the second one. -2.67 eV per formula unit